No. 1
Here is a relaxed ErPuIrRh crystal from the Alexandria database. Energies are from PBE.

Summary:
total magnetization = 1.17 μB/atom
VASP energy = -37.73 eV/cell
space group = F-43m
ΔH_f (0 K) = -657 meV per atom

a = 4.829 Å, b = 4.829 Å, c = 4.829 Å
α = 60.00°, β = 60.00°, γ = 60.00°
Site moments in Bohr magnetons follow the coordinates.
Element x y z (fractional)
Ir  0.750  0.750  0.750  0.24
Rh  0.250  0.250  0.250  0.30
Er  0.000  0.000  0.000  -0.09
Pu  0.500  0.500  0.500  -4.93


No. 2
Here is a relaxed AsC2 crystal from the Alexandria database. Energies are from PBE.

Summary:
total magnetization = 0.00 μB/atom
VASP energy = -35.38 eV/cell
space group = Cmcm
E above lowest polymorph = 140.0 kJ/mol of atoms
ΔH_f (0 K) = 1802 meV per atom

a = 7.794 Å, b = 7.794 Å, c = 2.915 Å
α = 90.00°, β = 90.00°, γ = 156.36°
Element x y z (fractional)
As  0.616  0.384  0.750
As  0.384  0.616  0.250
C  0.310  0.690  0.750
C  0.025  0.975  0.750
C  0.690  0.310  0.250
C  0.975  0.025  0.250


No. 3
Here is a relaxed CePmGaTc crystal from the Alexandria database. Energies are from PBE.

Summary:
total magnetization = 0.00 μB/atom
VASP energy = -25.27 eV/cell
space group = Amm2
E above lowest polymorph = 0.0 kJ/mol of atoms
ΔH_f (0 K) = -298 meV per atom

a = 4.024 Å, b = 3.814 Å, c = 6.478 Å
α = 90.00°, β = 108.10°, γ = 90.00°
Element x y z (fractional)
Tc  0.413  0.000  0.826
Ce  0.872  0.500  0.745
Ga  0.560  0.500  0.120
Pm  0.155  0.000  0.309